(1)
Below is a geometry-optimized NaCaLaPb structure, with properties calculated at the PBE-GGA level.

## Properties
uncorrected energy = -13.11 eV for the cell shown
formation energy from the elements = -0.289 eV per atom

a b c (Å): 5.641 5.641 5.641
angles (deg): 60.00 60.00 60.00
Positions (direct):
Pb (0.500, 0.500, 0.500)
Na (0.000, 0.000, 0.000)
Ca (0.250, 0.250, 0.250)
La (0.750, 0.750, 0.750)

=====

(2)
Below is a geometry-optimized NaCaLa2Pd structure, with properties calculated at the PBE-GGA level.

## Properties
uncorrected energy = -19.30 eV for the cell shown
formation energy from the elements = -0.187 eV per atom

a b c (Å): 5.704 5.704 5.889
angles (deg): 90.00 90.00 90.00
Positions (direct):
Na (0.500, 0.500, 0.500)
Ca (0.000, 0.000, 0.500)
Pd (0.000, 0.000, 0.000)
La (0.000, 0.500, 0.000)
La (0.500, 0.000, 0.000)

=====

(3)
Below is a geometry-optimized NaCaLa2Pt structure, with properties calculated at the PBE-GGA level.

## Properties
uncorrected energy = -21.21 eV for the cell shown
formation energy from the elements = -0.399 eV per atom

a b c (Å): 5.703 5.703 5.866
angles (deg): 90.00 90.00 90.00
Positions (direct):
Na (0.500, 0.500, 0.500)
Ca (0.000, 0.000, 0.500)
Pt (0.000, 0.000, 0.000)
La (0.000, 0.500, 0.000)
La (0.500, 0.000, 0.000)

=====

(4)
Below is a geometry-optimized Na2CaLaPt structure, with properties calculated at the PBE-GGA level.

## Properties
uncorrected energy = -16.28 eV for the cell shown
formation energy from the elements = -0.134 eV per atom

a b c (Å): 5.693 5.693 5.445
angles (deg): 90.00 90.00 90.00
Positions (direct):
Na (0.000, 0.500, 0.000)
Na (0.500, 0.000, 0.000)
Ca (0.500, 0.500, 0.500)
Pt (0.000, 0.000, 0.000)
La (0.000, 0.000, 0.500)

=====

(5)
Below is a geometry-optimized NaCa2LaPt structure, with properties calculated at the PBE-GGA level.

## Properties
uncorrected energy = -18.56 eV for the cell shown
formation energy from the elements = -0.453 eV per atom

a b c (Å): 5.785 5.785 5.567
angles (deg): 90.00 90.00 90.00
Positions (direct):
Na (0.500, 0.500, 0.500)
Ca (0.000, 0.500, 0.000)
Ca (0.500, 0.000, 0.000)
Pt (0.000, 0.000, 0.000)
La (0.000, 0.000, 0.500)

=====

(6)
Below is a geometry-optimized NaCaLa2Rh structure, with properties calculated at the PBE-GGA level.

## Properties
uncorrected energy = -21.88 eV for the cell shown
energy relative to the lowest polymorph listed for this composition = 0.000 eV per atom
formation energy from the elements = -0.270 eV per atom

a b c (Å): 5.567 5.567 5.891
angles (deg): 90.00 90.00 90.00
Positions (direct):
Na (0.500, 0.500, 0.500)
Ca (0.000, 0.000, 0.500)
Rh (0.000, 0.000, 0.000)
La (0.000, 0.500, 0.000)
La (0.500, 0.000, 0.000)

=====

(7)
Below is a geometry-optimized NaCaLa2Rh structure, with properties calculated at the PBE-GGA level.

## Properties
uncorrected energy = -21.27 eV for the cell shown
energy relative to the lowest polymorph listed for this composition = 0.121 eV per atom
formation energy from the elements = -0.148 eV per atom

a b c (Å): 5.463 5.463 6.008
angles (deg): 90.00 90.00 90.00
Positions (direct):
Na (0.000, 0.000, 0.500)
Ca (0.500, 0.500, 0.500)
Rh (0.000, 0.000, 0.000)
La (0.000, 0.500, 0.000)
La (0.500, 0.000, 0.000)

=====

(8)
Below is a geometry-optimized NaCa2LaRu structure, with properties calculated at the PBE-GGA level.

## Properties
uncorrected energy = -19.69 eV for the cell shown
formation energy from the elements = -0.032 eV per atom

a b c (Å): 5.795 5.795 5.241
angles (deg): 90.00 90.00 90.00
Positions (direct):
Ru (0.000, 0.000, 0.000)
Ca (0.000, 0.500, 0.000)
Ca (0.500, 0.000, 0.000)
Na (0.500, 0.500, 0.500)
La (0.000, 0.000, 0.500)